DFT (PBE) results for crystalline SrCdFeN2 at its relaxed geometry.

abc: 4.3167 5.9283 4.3167
angles: 90.00 90.00 90.00
With the nearest neighbours (Å) after each atom.
Fractional coordinates of all 5 atoms:
Sr: 0.0000 0.5000 0.0000  2 Cd 2.96, 4 Fe 3.05
N: 0.0000 0.0000 0.5000  2 Cd 2.16
N: 0.5000 0.0000 0.0000  2 Cd 2.16
Fe: 0.5000 0.5000 0.5000  4 Sr 3.05
Cd: 0.0000 0.0000 0.0000  4 N 2.16

## Properties
Formation energy (no corrections), eV per atom: 2.22
Total DFT energy (no corrections), eV per cell: -16.59



DFT (PBE) results for crystalline EuBiPt at its relaxed geometry.

abc: 4.0333 4.0333 5.5736
angles: 111.21 111.21 90.00
With the nearest neighbours (Å) after each atom.
Fractional coordinates of all 3 atoms:
Eu: 0.9337 0.9337 0.8675  5 Bi 3.09-3.32, 4 Pt 3.11
Bi: 0.6115 0.6115 0.2229  1 Pt 2.94, 1 Eu 3.09
Pt: 0.3048 0.3048 0.6096  1 Bi 2.94, 4 Eu 3.11

## Properties
Energy of formation, eV per atom: -0.467
Total DFT energy (no corrections), eV per cell: -21.60